Below is a geometry-optimized ErSc5Sn3 structure, with properties calculated at the PBE level.

a b c (Å): 8.7959 8.7959 6.2609
angles (deg): 90.00 90.00 120.00
Space group P6_3/mcm (No. 193)
Inequivalent atoms, fractional coordinates:
Er 0.0000 0.0000 0.0000
Sc 0.0000 0.3361 0.2500
Sc 0.3333 0.6667 0.0000
Sn 0.0000 0.3350 0.7500

Computed properties:
Total DFT energy (no corrections) (eV per atom): -5.9168
Energy above the most stable polymorph in this dataset (meV per atom): 0


Below is a geometry-optimized NiRuSeN2 structure, with properties calculated at the PBE level.

a b c (Å): 3.7163 3.7163 5.5141
angles (deg): 90.00 90.00 90.00
Space group P4/mmm (No. 123)
Inequivalent atoms, fractional coordinates:
Ni 0.0000 0.0000 0.0000
Ru 0.5000 0.5000 0.5000
Se 0.5000 0.5000 0.0000
N 0.0000 0.5000 0.5000

Computed properties:
Total DFT energy (no corrections) (eV per atom): -6.1553
Energy above the most stable polymorph in this dataset (meV per atom): 0


Below is a geometry-optimized CoTcAu2 structure, with properties calculated at the PBE level.

a b c (Å): 2.7403 4.7173 9.6795
angles (deg): 90.00 90.00 90.00
Space group Imm2 (No. 44)
Inequivalent atoms, fractional coordinates:
Co 0.0000 0.0000 0.0000
Tc 0.0000 0.5000 0.7052
Au 0.0000 0.0000 0.4761
Au 0.0000 0.5000 0.2588

Computed properties:
Total DFT energy (no corrections) (eV per atom): -5.6141
Energy above the most stable polymorph in this dataset (meV per atom): 233


Below is a geometry-optimized PmHo3Cu structure, with properties calculated at the PBE level.

a b c (Å): 5.3604 5.3604 5.3604
angles (deg): 90.00 90.00 90.00
Space group Pm-3m (No. 221)
Inequivalent atoms, fractional coordinates:
Pm 0.0000 0.0000 0.0000
Ho 0.0000 0.5000 0.5000
Cu 0.5000 0.5000 0.5000

Computed properties:
Total DFT energy (no corrections) (eV per atom): -4.4327


Below is a geometry-optimized RbCd2GaNi structure, with properties calculated at the PBE level.

a b c (Å): 5.1982 5.1982 4.7118
angles (deg): 90.00 90.00 90.00
Space group P4/mmm (No. 123)
Inequivalent atoms, fractional coordinates:
Rb 0.0000 0.0000 0.0000
Cd 0.0000 0.5000 0.5000
Ga 0.5000 0.5000 0.0000
Ni 0.5000 0.5000 0.5000

Computed properties:
Total DFT energy (no corrections) (eV per atom): -2.3785


Below is a geometry-optimized BeRhBr structure, with properties calculated at the PBE level.

a b c (Å): 5.7489 5.7489 5.7489
angles (deg): 90.00 90.00 90.00
Space group F-43m (No. 216)
Inequivalent atoms, fractional coordinates:
Be 0.0000 0.0000 0.0000
Rh 0.2500 0.2500 0.7500
Br 0.2500 0.2500 0.2500

Computed properties:
Total DFT energy (no corrections) (eV per atom): -3.7130
Energy above the most stable polymorph in this dataset (meV per atom): 966